Compound: SrY2Hg9
Source: Alexandria via LeMat-Bulk
Functional: PBE
Structure: relaxed

Summary:
The density of states at the Fermi level comes out at 0.604 states/eV/atom. The calculation puts the volume at 310.1 Å³/cell. As for the space-group type: No. 123. As for the formation energy: -0.342 eV/atom. As for the final energy: -1.79 eV per atom.

Cell lengths 4.740, 4.740, 13.803 Å; angles 90.00, 90.00, 90.00 degrees
Atoms (fractional coordinates):
Sr (0.000, 0.000, 0.000)
Y (0.000, 0.000, 0.341)
Y (0.000, 0.000, 0.659)
Hg (0.000, 0.500, 0.180)
Hg (0.000, 0.500, 0.500)
Hg (0.000, 0.500, 0.820)
Hg (0.500, 0.000, 0.180)
Hg (0.500, 0.000, 0.500)
Hg (0.500, 0.000, 0.820)
Hg (0.500, 0.500, 0.000)
Hg (0.500, 0.500, 0.344)
Hg (0.500, 0.500, 0.656)